[1]
First-principles (GGA-PBE) data for a relaxed structure of NiIrIN2, as listed in the Alexandria database.

Electronic total energy, eV/atom: -4.872
Energy above the most stable polymorph in this dataset, meV/atom: 770.8

The structure in CIF format:
```
data_NiIrIN2
_cell_length_a 3.6219
_cell_length_b 3.6219
_cell_length_c 7.7412
_cell_angle_alpha 90.00
_cell_angle_beta 90.00
_cell_angle_gamma 90.00
_symmetry_space_group_name_H-M 'P 1'
_symmetry_Int_Tables_number 1
_symmetry_space_group_name_Hall 'P 1'
loop_
_atom_site_label
_atom_site_type_symbol
_atom_site_fract_x
_atom_site_fract_y
_atom_site_fract_z
Ni1 Ni 0.0000 0.0000 0.0000
Ir1 Ir 0.5000 0.5000 0.5000
I1 I 0.0000 0.0000 0.5000
N1 N 0.0000 0.5000 0.0000
N2 N 0.5000 0.0000 0.0000
```

---

[2]
First-principles (GGA-PBE) data for a relaxed structure of NiIrIN2, as listed in the Alexandria database.

Electronic total energy, eV/atom: -5.643
Energy above the most stable polymorph in this dataset, meV/atom: 0.0

The structure in CIF format:
```
data_NiIrIN2
_cell_length_a 3.7190
_cell_length_b 3.7190
_cell_length_c 8.4796
_cell_angle_alpha 90.00
_cell_angle_beta 90.00
_cell_angle_gamma 90.00
_symmetry_space_group_name_H-M 'P 1'
_symmetry_Int_Tables_number 1
_symmetry_space_group_name_Hall 'P 1'
loop_
_atom_site_label
_atom_site_type_symbol
_atom_site_fract_x
_atom_site_fract_y
_atom_site_fract_z
Ni1 Ni 0.0000 0.0000 0.0000
Ir1 Ir 0.5000 0.5000 0.5000
I1 I 0.5000 0.5000 0.0000
N1 N 0.0000 0.5000 0.5000
N2 N 0.5000 0.0000 0.5000
```

---

[3]
First-principles (GGA-PBE) data for a relaxed structure of NiIrI2N, as listed in the Alexandria database.

Electronic total energy, eV/atom: -4.088
Energy above the most stable polymorph in this dataset, meV/atom: 345.2

The structure in CIF format:
```
data_NiIrI2N
_cell_length_a 5.3211
_cell_length_b 5.3211
_cell_length_c 3.3942
_cell_angle_alpha 90.00
_cell_angle_beta 90.00
_cell_angle_gamma 90.00
_symmetry_space_group_name_H-M 'P 1'
_symmetry_Int_Tables_number 1
_symmetry_space_group_name_Hall 'P 1'
loop_
_atom_site_label
_atom_site_type_symbol
_atom_site_fract_x
_atom_site_fract_y
_atom_site_fract_z
Ni1 Ni 0.0000 0.0000 0.0000
Ir1 Ir 0.5000 0.5000 0.5000
I1 I 0.0000 0.5000 0.0000
I2 I 0.5000 0.0000 0.0000
N1 N 0.0000 0.0000 0.5000
```

---

[4]
First-principles (GGA-PBE) data for a relaxed structure of IrINO2, as listed in the Alexandria database.

Electronic total energy, eV/atom: -5.135

The structure in CIF format:
```
data_IrINO2
_cell_length_a 3.6465
_cell_length_b 3.6465
_cell_length_c 8.1270
_cell_angle_alpha 90.00
_cell_angle_beta 90.00
_cell_angle_gamma 90.00
_symmetry_space_group_name_H-M 'P 1'
_symmetry_Int_Tables_number 1
_symmetry_space_group_name_Hall 'P 1'
loop_
_atom_site_label
_atom_site_type_symbol
_atom_site_fract_x
_atom_site_fract_y
_atom_site_fract_z
Ir1 Ir 0.0000 0.0000 0.0000
I1 I 0.0000 0.0000 0.5000
N1 N 0.5000 0.5000 0.5000
O1 O 0.0000 0.5000 0.0000
O2 O 0.5000 0.0000 0.0000
```

---

[5]
First-principles (GGA-PBE) data for a relaxed structure of IrIN2O, as listed in the Alexandria database.

Electronic total energy, eV/atom: -5.375

The structure in CIF format:
```
data_IrIN2O
_cell_length_a 3.9597
_cell_length_b 3.9597
_cell_length_c 4.0424
_cell_angle_alpha 90.00
_cell_angle_beta 90.00
_cell_angle_gamma 90.00
_symmetry_space_group_name_H-M 'P 1'
_symmetry_Int_Tables_number 1
_symmetry_space_group_name_Hall 'P 1'
loop_
_atom_site_label
_atom_site_type_symbol
_atom_site_fract_x
_atom_site_fract_y
_atom_site_fract_z
Ir1 Ir 0.0000 0.0000 0.0000
I1 I 0.5000 0.5000 0.5000
N1 N 0.0000 0.5000 0.0000
N2 N 0.5000 0.0000 0.0000
O1 O 0.0000 0.0000 0.5000
```

---

[6]
First-principles (GGA-PBE) data for a relaxed structure of IrIN2O, as listed in the Alexandria database.

Electronic total energy, eV/atom: -3.909

The structure in CIF format:
```
data_IrIN2O
_cell_length_a 3.8950
_cell_length_b 3.8950
_cell_length_c 4.2331
_cell_angle_alpha 90.00
_cell_angle_beta 90.00
_cell_angle_gamma 90.00
_symmetry_space_group_name_H-M 'P 1'
_symmetry_Int_Tables_number 1
_symmetry_space_group_name_Hall 'P 1'
loop_
_atom_site_label
_atom_site_type_symbol
_atom_site_fract_x
_atom_site_fract_y
_atom_site_fract_z
Ir1 Ir 0.0000 0.0000 0.0000
I1 I 0.5000 0.5000 0.0000
N1 N 0.0000 0.5000 0.5000
N2 N 0.5000 0.0000 0.5000
O1 O 0.5000 0.5000 0.5000
```

---

Record-wise energy relative to the elements, uncorrected values, in eV per atom: 1.70; 0.93; 1.13; 0.60; 1.03; 2.50
Record-wise spin magnetization values, in μB/atom: 0.076; 0.159; 0.000; 0.000; 0.000; 0.000